1.
# MnPd3Au6 | Alexandria | GGA-PBE | relaxed
# Energy above the lowest structure with this stoichiometry, eV per atom: 0.079
# Magnetic moment, μB/f.u.: 4.650
# Final energy, eV per cell: -89.25
# Mass density, g cm⁻³: 14.7
# Space-group type: R-3
data_MnPd3Au6
_cell_length_a 7.066
_cell_length_b 7.066
_cell_length_c 7.066
_cell_angle_alpha 90.73
_cell_angle_beta 90.73
_cell_angle_gamma 90.73
_space_group_name_H-M_alt 'P 1'
_space_group_IT_number 1
loop_
_space_group_symop_operation_xyz
'x,y,z'
loop_
_atom_site_label
_atom_site_type_symbol
_atom_site_fract_x
_atom_site_fract_y
_atom_site_fract_z
_atom_site_occupancy
Mn1 Mn 0.000 0.000 0.000 1
Mn2 Mn 0.500 0.500 0.500 1
Pd1 Pd 0.252 0.878 0.752 1
Pd2 Pd 0.878 0.752 0.252 1
Pd3 Pd 0.248 0.748 0.122 1
Pd4 Pd 0.752 0.252 0.878 1
Pd5 Pd 0.122 0.248 0.748 1
Pd6 Pd 0.748 0.122 0.248 1
Au1 Au 0.381 0.151 0.057 1
Au2 Au 0.849 0.943 0.619 1
Au3 Au 0.513 0.844 0.384 1
Au4 Au 0.943 0.619 0.849 1
Au5 Au 0.384 0.513 0.844 1
Au6 Au 0.156 0.616 0.487 1
Au7 Au 0.844 0.384 0.513 1
Au8 Au 0.616 0.487 0.156 1
Au9 Au 0.057 0.381 0.151 1
Au10 Au 0.487 0.156 0.616 1
Au11 Au 0.151 0.057 0.381 1
Au12 Au 0.619 0.849 0.943 1

2.
# Mn2Pd2Au5 | Alexandria | GGA-PBE | relaxed
# Energy above the lowest structure with this stoichiometry, eV per atom: 0.000
# Magnetic moment, μB/f.u.: 8.867
# Final energy, eV per cell: -92.57
# Mass density, g cm⁻³: 14.4
# Space-group type: Cc
data_Mn2Pd2Au5
_cell_length_a 8.554
_cell_length_b 5.643
_cell_length_c 7.712
_cell_angle_alpha 101.27
_cell_angle_beta 123.68
_cell_angle_gamma 90.00
_space_group_name_H-M_alt 'P 1'
_space_group_IT_number 1
loop_
_space_group_symop_operation_xyz
'x,y,z'
loop_
_atom_site_label
_atom_site_type_symbol
_atom_site_fract_x
_atom_site_fract_y
_atom_site_fract_z
_atom_site_occupancy
Mn1 Mn 0.033 0.801 0.898 1
Mn2 Mn 0.365 0.301 0.898 1
Mn3 Mn 0.682 0.994 0.545 1
Mn4 Mn 0.363 0.494 0.545 1
Pd1 Pd 0.700 0.497 0.558 1
Pd2 Pd 0.029 0.648 0.222 1
Pd3 Pd 0.358 0.997 0.558 1
Pd4 Pd 0.693 0.148 0.222 1
Au1 Au 0.695 0.646 0.225 1
Au2 Au 0.366 0.801 0.886 1
Au3 Au 0.031 0.146 0.225 1
Au4 Au 0.020 0.301 0.886 1
Au5 Au 0.697 0.831 0.876 1
Au6 Au 0.366 0.150 0.226 1
Au7 Au 0.679 0.331 0.876 1
Au8 Au 0.360 0.650 0.226 1
Au9 Au 0.025 0.967 0.564 1
Au10 Au 0.039 0.467 0.564 1

3.
# MnPd6Au2 | Alexandria | GGA-PBE | relaxed
# Energy above the lowest structure with this stoichiometry, eV per atom: 0.000
# Magnetic moment, μB/f.u.: 5.092
# Final energy, eV per cell: -48.13
# Mass density, g cm⁻³: 12.7
# Space-group type: C2/m
data_MnPd6Au2
_cell_length_a 3.986
_cell_length_b 4.877
_cell_length_c 8.481
_cell_angle_alpha 72.79
_cell_angle_beta 76.41
_cell_angle_gamma 65.88
_space_group_name_H-M_alt 'P 1'
_space_group_IT_number 1
loop_
_space_group_symop_operation_xyz
'x,y,z'
loop_
_atom_site_label
_atom_site_type_symbol
_atom_site_fract_x
_atom_site_fract_y
_atom_site_fract_z
_atom_site_occupancy
Mn1 Mn 0.000 0.500 0.500 1
Pd1 Pd 0.665 0.725 0.945 1
Pd2 Pd 0.335 0.275 0.055 1
Pd3 Pd 0.999 0.833 0.169 1
Pd4 Pd 0.334 0.941 0.391 1
Pd5 Pd 0.001 0.167 0.831 1
Pd6 Pd 0.666 0.059 0.609 1
Au1 Au 0.334 0.611 0.721 1
Au2 Au 0.666 0.389 0.279 1

4.
# Mn2Pd6Au | Alexandria | GGA-PBE | relaxed
# Energy above the lowest structure with this stoichiometry, eV per atom: 0.146
# Magnetic moment, μB/f.u.: 9.627
# Final energy, eV per cell: -53.18
# Mass density, g cm⁻³: 10.7
# Space-group type: C2/m
data_Mn2Pd6Au
_cell_length_a 2.821
_cell_length_b 7.458
_cell_length_c 8.027
_cell_angle_alpha 117.68
_cell_angle_beta 100.25
_cell_angle_gamma 90.00
_space_group_name_H-M_alt 'P 1'
_space_group_IT_number 1
loop_
_space_group_symop_operation_xyz
'x,y,z'
loop_
_atom_site_label
_atom_site_type_symbol
_atom_site_fract_x
_atom_site_fract_y
_atom_site_fract_z
_atom_site_occupancy
Mn1 Mn 0.668 0.669 0.338 1
Mn2 Mn 0.332 0.331 0.662 1
Pd1 Pd 0.168 0.366 0.336 1
Pd2 Pd 0.832 0.030 0.664 1
Pd3 Pd 0.832 0.634 0.664 1
Pd4 Pd 0.500 0.320 0.000 1
Pd5 Pd 0.168 0.970 0.336 1
Pd6 Pd 0.500 0.680 0.000 1
Au1 Au 0.000 0.000 0.000 1

5.
# Mn2PdAu2 | Alexandria | GGA-PBE | relaxed
# Energy above the lowest structure with this stoichiometry, eV per atom: 0.000
# Magnetic moment, μB/f.u.: 8.505
# Final energy, eV per cell: -61.05
# Mass density, g cm⁻³: 12.4
# Space-group type: P-1
data_Mn2PdAu2
_cell_length_a 4.772
_cell_length_b 5.493
_cell_length_c 10.452
_cell_angle_alpha 41.73
_cell_angle_beta 77.66
_cell_angle_gamma 64.94
_space_group_name_H-M_alt 'P 1'
_space_group_IT_number 1
loop_
_space_group_symop_operation_xyz
'x,y,z'
loop_
_atom_site_label
_atom_site_type_symbol
_atom_site_fract_x
_atom_site_fract_y
_atom_site_fract_z
_atom_site_occupancy
Mn1 Mn 0.411 0.845 0.956 1
Mn2 Mn 0.784 0.347 0.455 1
Mn3 Mn 0.589 0.155 0.044 1
Mn4 Mn 0.216 0.653 0.545 1
Pd1 Pd 0.194 0.752 0.250 1
Pd2 Pd 0.806 0.248 0.750 1
Au1 Au 0.378 0.968 0.649 1
Au2 Au 0.997 0.532 0.850 1
Au3 Au 0.622 0.032 0.351 1
Au4 Au 0.003 0.468 0.150 1

6.
# MnPd2Au3 | Alexandria | GGA-PBE | relaxed
# Energy above the lowest structure with this stoichiometry, eV per atom: 0.000
# Magnetic moment, μB/f.u.: 4.538
# Final energy, eV per cell: -60.32
# Mass density, g cm⁻³: 14.3
# Space-group type: C2/c
data_MnPd2Au3
_cell_length_a 4.977
_cell_length_b 4.977
_cell_length_c 9.020
_cell_angle_alpha 100.15
_cell_angle_beta 100.15
_cell_angle_gamma 110.09
_space_group_name_H-M_alt 'P 1'
_space_group_IT_number 1
loop_
_space_group_symop_operation_xyz
'x,y,z'
loop_
_atom_site_label
_atom_site_type_symbol
_atom_site_fract_x
_atom_site_fract_y
_atom_site_fract_z
_atom_site_occupancy
Mn1 Mn 0.124 0.876 0.250 1
Mn2 Mn 0.876 0.124 0.750 1
Pd1 Pd 0.042 0.291 0.083 1
Pd2 Pd 0.709 0.958 0.417 1
Pd3 Pd 0.958 0.709 0.917 1
Pd4 Pd 0.291 0.042 0.583 1
Au1 Au 0.207 0.458 0.414 1
Au2 Au 0.542 0.793 0.086 1
Au3 Au 0.793 0.542 0.586 1
Au4 Au 0.458 0.207 0.914 1
Au5 Au 0.625 0.375 0.250 1
Au6 Au 0.375 0.625 0.750 1

7.
# Mn2Pd5Au | Alexandria | GGA-PBE | relaxed
# Magnetic moment, μB/f.u.: 8.974
# Final energy, eV per cell: -98.93
# Mass density, g cm⁻³: 11.3
# Space-group type: Pbam
data_Mn2Pd5Au
_cell_length_a 3.955
_cell_length_b 5.588
_cell_length_c 11.184
_cell_angle_alpha 90.00
_cell_angle_beta 90.00
_cell_angle_gamma 90.00
_space_group_name_H-M_alt 'P 1'
_space_group_IT_number 1
loop_
_space_group_symop_operation_xyz
'x,y,z'
loop_
_atom_site_label
_atom_site_type_symbol
_atom_site_fract_x
_atom_site_fract_y
_atom_site_fract_z
_atom_site_occupancy
Mn1 Mn 0.500 0.257 0.628 1
Mn2 Mn 0.500 0.743 0.372 1
Mn3 Mn 0.500 0.243 0.128 1
Mn4 Mn 0.500 0.757 0.872 1
Pd1 Pd 0.000 0.000 0.000 1
Pd2 Pd 0.000 0.500 0.500 1
Pd3 Pd 0.000 0.503 0.749 1
Pd4 Pd 0.000 0.497 0.251 1
Pd5 Pd 0.000 0.997 0.249 1
Pd6 Pd 0.000 0.003 0.751 1
Pd7 Pd 0.500 0.249 0.874 1
Pd8 Pd 0.500 0.751 0.126 1
Pd9 Pd 0.500 0.251 0.374 1
Pd10 Pd 0.500 0.749 0.626 1
Au1 Au 0.000 0.000 0.500 1
Au2 Au 0.000 0.500 0.000 1

8.
# Mn4Pd5Au | Alexandria | GGA-PBE | relaxed
# Energy above the lowest structure with this stoichiometry, eV per atom: 0.449
# Magnetic moment, μB/f.u.: 0.001
# Final energy, eV per cell: -63.53
# Mass density, g cm⁻³: 11.4
# Space-group type: P4/mmm
data_Mn4Pd5Au
_cell_length_a 2.679
_cell_length_b 2.679
_cell_length_c 19.256
_cell_angle_alpha 90.00
_cell_angle_beta 90.00
_cell_angle_gamma 90.00
_space_group_name_H-M_alt 'P 1'
_space_group_IT_number 1
loop_
_space_group_symop_operation_xyz
'x,y,z'
loop_
_atom_site_label
_atom_site_type_symbol
_atom_site_fract_x
_atom_site_fract_y
_atom_site_fract_z
_atom_site_occupancy
Mn1 Mn 0.000 0.000 0.209 1
Mn2 Mn 0.000 0.000 0.403 1
Mn3 Mn 0.000 0.000 0.597 1
Mn4 Mn 0.000 0.000 0.791 1
Pd1 Pd 0.500 0.500 0.118 1
Pd2 Pd 0.500 0.500 0.307 1
Pd3 Pd 0.500 0.500 0.500 1
Pd4 Pd 0.500 0.500 0.693 1
Pd5 Pd 0.500 0.500 0.882 1
Au1 Au 0.000 0.000 0.000 1

9.
# Mn2Pd2Au | Alexandria | GGA-PBE | relaxed
# Energy above the lowest structure with this stoichiometry, eV per atom: 0.000
# Magnetic moment, μB/f.u.: 8.478
# Final energy, eV per cell: -65.55
# Mass density, g cm⁻³: 11.0
# Space-group type: C2/m
data_Mn2Pd2Au
_cell_length_a 3.943
_cell_length_b 4.811
_cell_length_c 10.442
_cell_angle_alpha 60.06
_cell_angle_beta 79.12
_cell_angle_gamma 65.81
_space_group_name_H-M_alt 'P 1'
_space_group_IT_number 1
loop_
_space_group_symop_operation_xyz
'x,y,z'
loop_
_atom_site_label
_atom_site_type_symbol
_atom_site_fract_x
_atom_site_fract_y
_atom_site_fract_z
_atom_site_occupancy
Mn1 Mn 0.442 0.761 0.855 1
Mn2 Mn 0.942 0.261 0.355 1
Mn3 Mn 0.558 0.239 0.145 1
Mn4 Mn 0.058 0.739 0.645 1
Pd1 Pd 0.358 0.228 0.557 1
Pd2 Pd 0.142 0.272 0.943 1
Pd3 Pd 0.642 0.772 0.443 1
Pd4 Pd 0.858 0.728 0.057 1
Au1 Au 0.250 0.750 0.250 1
Au2 Au 0.750 0.250 0.750 1

10.
# Mn2PdAu | Alexandria | GGA-PBE | relaxed
# Magnetic moment, μB/f.u.: 8.611
# Final energy, eV per cell: -27.20
# Mass density, g cm⁻³: 10.8
# Space-group type: P4/mmm
data_Mn2PdAu
_cell_length_a 3.212
_cell_length_b 3.212
_cell_length_c 6.184
_cell_angle_alpha 90.00
_cell_angle_beta 90.00
_cell_angle_gamma 90.00
_space_group_name_H-M_alt 'P 1'
_space_group_IT_number 1
loop_
_space_group_symop_operation_xyz
'x,y,z'
loop_
_atom_site_label
_atom_site_type_symbol
_atom_site_fract_x
_atom_site_fract_y
_atom_site_fract_z
_atom_site_occupancy
Mn1 Mn 0.000 0.000 0.757 1
Mn2 Mn 0.000 0.000 0.243 1
Au1 Au 0.500 0.500 0.500 1
Pd1 Pd 0.500 0.500 0.000 1

11.
# MnPd6Au3 | Alexandria | GGA-PBE | relaxed
# Energy above the lowest structure with this stoichiometry, eV per atom: 0.104
# Magnetic moment, μB/f.u.: 4.895
# Final energy, eV per cell: -100.16
# Mass density, g cm⁻³: 12.8
# Space-group type: Cmc2_1
data_MnPd6Au3
_cell_length_a 4.961
_cell_length_b 8.767
_cell_length_c 8.767
_cell_angle_alpha 119.45
_cell_angle_beta 90.00
_cell_angle_gamma 90.00
_space_group_name_H-M_alt 'P 1'
_space_group_IT_number 1
loop_
_space_group_symop_operation_xyz
'x,y,z'
loop_
_atom_site_label
_atom_site_type_symbol
_atom_site_fract_x
_atom_site_fract_y
_atom_site_fract_z
_atom_site_occupancy
Mn1 Mn 0.299 0.219 0.781 1
Mn2 Mn 0.799 0.781 0.219 1
Pd1 Pd 0.176 0.713 0.612 1
Pd2 Pd 0.676 0.612 0.713 1
Pd3 Pd 0.013 0.452 0.029 1
Pd4 Pd 0.513 0.029 0.452 1
Pd5 Pd 0.092 0.061 0.939 1
Pd6 Pd 0.783 0.291 0.709 1
Pd7 Pd 0.283 0.709 0.291 1
Pd8 Pd 0.592 0.939 0.061 1
Pd9 Pd 0.013 0.971 0.548 1
Pd10 Pd 0.513 0.548 0.971 1
Pd11 Pd 0.176 0.388 0.287 1
Pd12 Pd 0.676 0.287 0.388 1
Au1 Au 0.604 0.940 0.735 1
Au2 Au 0.104 0.735 0.940 1
Au3 Au 0.226 0.394 0.606 1
Au4 Au 0.726 0.606 0.394 1
Au5 Au 0.104 0.060 0.265 1
Au6 Au 0.604 0.265 0.060 1

12.
# Mn2Pd2Au7 | Alexandria | GGA-PBE | relaxed
# Energy above the lowest structure with this stoichiometry, eV per atom: 0.000
# Magnetic moment, μB/f.u.: 8.728
# Final energy, eV per cell: -52.12
# Mass density, g cm⁻³: 14.7
# Space-group type: Imm2
data_Mn2Pd2Au7
_cell_length_a 7.423
_cell_length_b 7.423
_cell_length_c 7.423
_cell_angle_alpha 145.63
_cell_angle_beta 122.21
_cell_angle_gamma 69.00
_space_group_name_H-M_alt 'P 1'
_space_group_IT_number 1
loop_
_space_group_symop_operation_xyz
'x,y,z'
loop_
_atom_site_label
_atom_site_type_symbol
_atom_site_fract_x
_atom_site_fract_y
_atom_site_fract_z
_atom_site_occupancy
Mn1 Mn 0.681 0.306 0.375 1
Mn2 Mn 0.068 0.694 0.375 1
Pd1 Pd 0.377 0.000 0.377 1
Pd2 Pd 0.679 0.500 0.179 1
Au1 Au 0.245 0.153 0.092 1
Au2 Au 0.812 0.148 0.663 1
Au3 Au 0.074 0.500 0.574 1
Au4 Au 0.226 0.347 0.878 1
Au5 Au 0.531 0.653 0.878 1
Au6 Au 0.939 0.847 0.092 1
Au7 Au 0.515 0.852 0.663 1

Question: Which value of magnetic moment does entry 11 give?
Answer: 4.895 μB/f.u.